(1)
A plane-wave DFT calculation with PBE was carried out for Sr2HgRu after structural relaxation.

a = 5.8485 Å, b = 5.8485 Å, c = 5.8485 Å
α = 133.03°, β = 133.03°, γ = 68.60°
Last column: nearest neighbours and their distance in Å.
Atoms (fractional coordinates):
1 Hg 0.5000 0.5000 0.0000  8 Sr 3.30-3.36, 4 Ru 3.36
2 Ru 0.7500 0.2500 0.5000  8 Sr 3.30-3.36, 4 Hg 3.36
3 Sr 0.0000 0.0000 0.0000  4 Hg 3.30, 4 Ru 3.36, 4 Sr 3.36
4 Sr 0.2500 0.7500 0.5000  4 Ru 3.30, 4 Hg 3.36, 4 Sr 3.36

(2)
A plane-wave DFT calculation with PBE was carried out for PmCdP2 after structural relaxation.

a = 4.2631 Å, b = 4.2631 Å, c = 8.2470 Å
α = 75.02°, β = 75.02°, γ = 60.00°
Last column: nearest neighbours and their distance in Å.
Atoms (fractional coordinates):
1 P 0.1020 0.1020 0.6940  1 Cd 2.41
2 P 0.8980 0.8980 0.3060  1 Cd 2.41
3 Cd 0.0000 0.0000 0.0000  2 P 2.41
4 Pm 0.5000 0.5000 0.5000  6 P 2.90

(3)
A plane-wave DFT calculation with PBE was carried out for CoWSe3 after structural relaxation.

Output
The formation energy (no corrections) comes out at -0.249 eV/atom.

a = 3.4156 Å, b = 5.9115 Å, c = 11.6763 Å
α = 104.66°, β = 90.00°, γ = 90.00°
Last column: nearest neighbours and their distance in Å.
Atoms (fractional coordinates):
1 Co 0.2500 0.7457 0.2729  4 Se 2.28-2.32
2 Co 0.7500 0.4728 0.7271  4 Se 2.28-2.32
3 W 0.2500 0.1148 0.6624  5 Se 2.47-2.57, 2 Co 2.68
4 W 0.7500 0.4524 0.3376  5 Se 2.47-2.57, 2 Co 2.68
5 Se 0.7500 0.8729 0.7450  1 Co 2.32, 2 W 2.57
6 Se 0.7500 0.5764 0.1512  2 Co 2.28, 1 W 2.47
7 Se 0.7500 0.2517 0.5333  1 Co 2.31, 2 W 2.54
8 Se 0.2500 0.4252 0.8488  2 Co 2.28, 1 W 2.47
9 Se 0.2500 0.1278 0.2550  1 Co 2.32, 2 W 2.57
10 Se 0.2500 0.7185 0.4667  1 Co 2.31, 2 W 2.54

(4)
A plane-wave DFT calculation with PBE was carried out for TbZnRh after structural relaxation.

a = 4.0652 Å, b = 6.9695 Å, c = 8.1117 Å
α = 90.00°, β = 90.00°, γ = 90.00°
Last column: nearest neighbours and their distance in Å.
Atoms (fractional coordinates):
1 Tb 0.2500 0.5389 0.1847  5 Rh 2.91-2.94, 5 Zn 3.13-3.19
2 Tb 0.7500 0.4611 0.8153  5 Rh 2.91-2.94, 5 Zn 3.13-3.19
3 Tb 0.2500 0.0389 0.3153  5 Rh 2.91-2.94, 5 Zn 3.13-3.19
4 Tb 0.7500 0.9611 0.6847  5 Rh 2.91-2.94, 5 Zn 3.13-3.19
5 Zn 0.2500 0.1377 0.9359  4 Rh 2.64-2.70
6 Zn 0.7500 0.8623 0.0641  4 Rh 2.64-2.70
7 Zn 0.2500 0.6377 0.5641  4 Rh 2.64-2.70
8 Zn 0.7500 0.3623 0.4359  4 Rh 2.64-2.70
9 Rh 0.7500 0.7435 0.3780  4 Zn 2.64-2.70, 5 Tb 2.91-2.94
10 Rh 0.2500 0.2565 0.6220  4 Zn 2.64-2.70, 5 Tb 2.91-2.94
11 Rh 0.7500 0.2435 0.1220  4 Zn 2.64-2.70, 5 Tb 2.91-2.94
12 Rh 0.2500 0.7565 0.8780  4 Zn 2.64-2.70, 5 Tb 2.91-2.94

(5)
A plane-wave DFT calculation with PBE was carried out for CaP after structural relaxation.

a = 10.2515 Å, b = 10.2515 Å, c = 4.0153 Å
α = 90.00°, β = 90.00°, γ = 90.00°
Last column: nearest neighbours and their distance in Å.
Atoms (fractional coordinates):
1 Ca 0.7821 0.5000 0.0000  6 P 2.98-3.03
2 Ca 0.2179 0.5000 0.0000  6 P 2.98-3.03
3 Ca 0.5000 0.2179 0.0000  6 P 2.98-3.03
4 Ca 0.5000 0.7821 0.0000  6 P 2.98-3.03
5 Ca 0.2821 0.0000 0.5000  6 P 2.98-3.03
6 Ca 0.7179 0.0000 0.5000  6 P 2.98-3.03
7 Ca 0.0000 0.7179 0.5000  6 P 2.98-3.03
8 Ca 0.0000 0.2821 0.5000  6 P 2.98-3.03
9 P 0.2090 0.2090 0.0000  2 P 2.33
10 P 0.2090 0.7910 0.0000  2 P 2.33
11 P 0.7910 0.2090 0.0000  2 P 2.33
12 P 0.7910 0.7910 0.0000  2 P 2.33
13 P 0.7090 0.7090 0.5000  2 P 2.33
14 P 0.7090 0.2910 0.5000  2 P 2.33
15 P 0.2910 0.7090 0.5000  2 P 2.33
16 P 0.2910 0.2910 0.5000  2 P 2.33

(6)
A plane-wave DFT calculation with PBE was carried out for ZnFeNiPd after structural relaxation.

a = 4.2106 Å, b = 4.2106 Å, c = 4.2106 Å
α = 60.00°, β = 60.00°, γ = 60.00°
Last column: nearest neighbours and their distance in Å.
Atoms (fractional coordinates):
1 Ni 0.2500 0.2500 0.2500  4 Fe 2.58, 4 Zn 2.58
2 Zn 0.0000 0.0000 0.0000  4 Ni 2.58, 4 Pd 2.58
3 Fe 0.5000 0.5000 0.5000  4 Ni 2.58, 4 Pd 2.58
4 Pd 0.7500 0.7500 0.7500  4 Fe 2.58, 4 Zn 2.58

(7)
A plane-wave DFT calculation with PBE was carried out for La2YIr after structural relaxation.

a = 6.4875 Å, b = 6.4875 Å, c = 5.6415 Å
α = 65.01°, β = 65.01°, γ = 33.81°
Last column: nearest neighbours and their distance in Å.
Atoms (fractional coordinates):
1 Ir 0.7527 0.7527 0.7101  2 Y 2.83, 4 La 2.89-3.16
2 La 0.0577 0.0577 0.9531  2 Ir 2.89
3 La 0.2493 0.2493 0.2641  2 Ir 3.16, 1 Y 3.51, 1 La 3.52
4 Y 0.4402 0.4402 0.5726  2 Ir 2.83

(8)
A plane-wave DFT calculation with PBE was carried out for SrCd2Sb2 after structural relaxation.

Output
The formation energy (no corrections) comes out at -0.409 eV/atom.

a = 7.7547 Å, b = 7.7547 Å, c = 7.4831 Å
α = 116.38°, β = 116.38°, γ = 98.18°
Last column: nearest neighbours and their distance in Å.
Atoms (fractional coordinates):
1 Sr 0.8750 0.6250 0.7500  2 Sb 3.33
2 Sr 0.1250 0.3750 0.2500  2 Sb 3.33
3 Cd 0.2374 0.9873 0.4748  4 Sb 2.85-2.95, 1 Cd 3.03
4 Cd 0.4873 0.7374 0.9748  4 Sb 2.85-2.95, 1 Cd 3.03
5 Cd 0.7626 0.0127 0.5252  4 Sb 2.85-2.95, 1 Cd 3.03
6 Cd 0.5127 0.2626 0.0252  4 Sb 2.85-2.95, 1 Cd 3.03
7 Sb 0.1594 0.3406 0.7500  4 Cd 2.85-2.95
8 Sb 0.4093 0.0907 0.2500  4 Cd 2.85-2.95
9 Sb 0.5907 0.9093 0.7500  4 Cd 2.85-2.95
10 Sb 0.8406 0.6594 0.2500  4 Cd 2.85-2.95

Calculated total energy in order - -2.960; -4.448; -6.352; -5.148; -4.398; -5.307; -6.664; -2.760 eV per atom